1.
# PBE KTe3, relaxed
data_KTe3
_chemical_formula_sum 'K1 Te3'
_cell_length_a 5.4131
_cell_length_b 5.4131
_cell_length_c 4.3731
_cell_angle_alpha 90.00
_cell_angle_beta 90.00
_cell_angle_gamma 101.82
_symmetry_space_group_name_H-M 'P 1'
_symmetry_Int_Tables_number 1
loop_
_symmetry_equiv_pos_as_xyz
'x,y,z'
loop_
_atom_site_label
_atom_site_fract_x
_atom_site_fract_y
_atom_site_fract_z
K1 0.0000 0.0000 0.0000
Te1 0.0000 0.5000 0.5000
Te2 0.5000 0.0000 0.5000
Te3 0.5000 0.5000 0.0000
# crystal system: orthorhombic
# symmetry: Cmmm (65)
# mass density: 5.59 g/cm³
# polymorph energy (0 for the lowest one): 174 meV per atom

---

2.
# PBE K2Te3, relaxed
data_K2Te3
_chemical_formula_sum 'K8 Te12'
_cell_length_a 4.6151
_cell_length_b 10.4018
_cell_length_c 16.0036
_cell_angle_alpha 90.00
_cell_angle_beta 90.00
_cell_angle_gamma 90.00
_symmetry_space_group_name_H-M 'P 1'
_symmetry_Int_Tables_number 1
loop_
_symmetry_equiv_pos_as_xyz
'x,y,z'
loop_
_atom_site_label
_atom_site_fract_x
_atom_site_fract_y
_atom_site_fract_z
K1 0.2755 0.9720 0.3765
K2 0.7755 0.0280 0.1235
K3 0.7245 0.4720 0.6235
K4 0.2245 0.5280 0.8765
K5 0.7245 0.0280 0.6235
K6 0.2245 0.9720 0.8765
K7 0.2755 0.5280 0.3765
K8 0.7755 0.4720 0.1235
Te1 0.8055 0.7500 0.4818
Te2 0.3055 0.2500 0.0182
Te3 0.1945 0.2500 0.5182
Te4 0.6945 0.7500 0.9818
Te5 0.7031 0.7500 0.2612
Te6 0.2031 0.2500 0.2388
Te7 0.2969 0.2500 0.7388
Te8 0.7969 0.7500 0.7612
Te9 0.3021 0.7500 0.1226
Te10 0.8021 0.2500 0.3774
Te11 0.6979 0.2500 0.8774
Te12 0.1979 0.7500 0.6226
# crystal system: orthorhombic
# symmetry: Pnma (62)
# mass density: 3.99 g/cm³
# calculated total energy: -3.0468 eV per atom

---

3.
# PBE KTe, relaxed
data_KTe
_chemical_formula_sum 'K4 Te4'
_cell_length_a 7.1573
_cell_length_b 7.1573
_cell_length_c 7.1573
_cell_angle_alpha 90.00
_cell_angle_beta 90.00
_cell_angle_gamma 90.00
_symmetry_space_group_name_H-M 'P 1'
_symmetry_Int_Tables_number 1
loop_
_symmetry_equiv_pos_as_xyz
'x,y,z'
loop_
_atom_site_label
_atom_site_fract_x
_atom_site_fract_y
_atom_site_fract_z
K1 0.0000 0.0000 0.0000
K2 0.0000 0.5000 0.5000
K3 0.5000 0.0000 0.5000
K4 0.5000 0.5000 0.0000
Te1 0.5000 0.5000 0.5000
Te2 0.5000 0.0000 0.0000
Te3 0.0000 0.5000 0.0000
Te4 0.0000 0.0000 0.5000
# crystal system: cubic
# symmetry: Fm-3m (225)
# mass density: 3.02 g/cm³
# calculated total energy: -2.5373 eV per atom

---

4.
# PBE KTe3, relaxed
data_KTe3
_chemical_formula_sum 'K1 Te3'
_cell_length_a 6.5448
_cell_length_b 3.1744
_cell_length_c 6.3499
_cell_angle_alpha 89.98
_cell_angle_beta 90.00
_cell_angle_gamma 90.00
_symmetry_space_group_name_H-M 'P 1'
_symmetry_Int_Tables_number 1
loop_
_symmetry_equiv_pos_as_xyz
'x,y,z'
loop_
_atom_site_label
_atom_site_fract_x
_atom_site_fract_y
_atom_site_fract_z
K1 0.0000 0.0000 0.0000
Te1 0.5000 0.4998 0.7614
Te2 0.0000 0.5000 0.5000
Te3 0.5000 0.5002 0.2386
# crystal system: orthorhombic
# symmetry: Pmmm (47)
# mass density: 5.31 g/cm³
# polymorph energy (0 for the lowest one): 114 meV per atom

---

5.
# PBE KTe, relaxed
data_KTe
_chemical_formula_sum 'K6 Te6'
_cell_length_a 5.9184
_cell_length_b 5.9184
_cell_length_c 18.9955
_cell_angle_alpha 90.00
_cell_angle_beta 90.00
_cell_angle_gamma 120.00
_symmetry_space_group_name_H-M 'P 1'
_symmetry_Int_Tables_number 1
loop_
_symmetry_equiv_pos_as_xyz
'x,y,z'
loop_
_atom_site_label
_atom_site_fract_x
_atom_site_fract_y
_atom_site_fract_z
K1 0.0000 0.0000 0.3870
K2 0.0000 0.0000 0.6130
K3 0.3333 0.6667 0.7185
K4 0.3333 0.6667 0.9453
K5 0.6667 0.3333 0.0547
K6 0.6667 0.3333 0.2815
Te1 0.0000 0.0000 0.0748
Te2 0.0000 0.0000 0.9252
Te3 0.3333 0.6667 0.4086
Te4 0.3333 0.6667 0.2589
Te5 0.6667 0.3333 0.7411
Te6 0.6667 0.3333 0.5914
# crystal system: trigonal
# symmetry: P-3m1 (164)
# mass density: 2.88 g/cm³
# calculated total energy: -2.8187 eV per atom

---

6.
# PBE KTe, relaxed
data_KTe
_chemical_formula_sum 'K6 Te6'
_cell_length_a 11.7923
_cell_length_b 11.7923
_cell_length_c 5.8134
_cell_angle_alpha 90.00
_cell_angle_beta 90.00
_cell_angle_gamma 120.00
_symmetry_space_group_name_H-M 'P 1'
_symmetry_Int_Tables_number 1
loop_
_symmetry_equiv_pos_as_xyz
'x,y,z'
loop_
_atom_site_label
_atom_site_fract_x
_atom_site_fract_y
_atom_site_fract_z
K1 0.7840 0.5681 0.2500
K2 0.2160 0.7840 0.7500
K3 0.4319 0.2160 0.2500
K4 0.2160 0.4319 0.7500
K5 0.7840 0.2160 0.2500
K6 0.5681 0.7840 0.7500
Te1 0.4744 0.9489 0.2500
Te2 0.5256 0.4744 0.7500
Te3 0.0511 0.5256 0.2500
Te4 0.5256 0.0511 0.7500
Te5 0.4744 0.5256 0.2500
Te6 0.9489 0.4744 0.7500
# crystal system: hexagonal
# symmetry: P6_3/mmc (194)
# mass density: 2.37 g/cm³
# calculated total energy: -2.7594 eV per atom

---

7.
# PBE KTe, relaxed
data_KTe
_chemical_formula_sum 'K2 Te2'
_cell_length_a 5.6581
_cell_length_b 5.7293
_cell_length_c 6.1011
_cell_angle_alpha 90.02
_cell_angle_beta 90.01
_cell_angle_gamma 119.62
_symmetry_space_group_name_H-M 'P 1'
_symmetry_Int_Tables_number 1
loop_
_symmetry_equiv_pos_as_xyz
'x,y,z'
loop_
_atom_site_label
_atom_site_fract_x
_atom_site_fract_y
_atom_site_fract_z
K1 0.5877 0.2631 0.1471
K2 0.2672 0.6274 0.6474
Te1 0.9555 0.9960 0.4097
Te2 0.8995 0.8945 0.9098
# crystal system: monoclinic
# symmetry: P2_1 (4)
# mass density: 3.22 g/cm³
# calculated total energy: -2.9698 eV per atom

---

8.
# PBE KTe2, relaxed
data_KTe2
_chemical_formula_sum 'K1 Te2'
_cell_length_a 6.8418
_cell_length_b 6.8418
_cell_length_c 6.8418
_cell_angle_alpha 142.22
_cell_angle_beta 142.22
_cell_angle_gamma 54.50
_symmetry_space_group_name_H-M 'P 1'
_symmetry_Int_Tables_number 1
loop_
_symmetry_equiv_pos_as_xyz
'x,y,z'
loop_
_atom_site_label
_atom_site_fract_x
_atom_site_fract_y
_atom_site_fract_z
K1 0.0000 0.0000 0.0000
Te1 0.7260 0.7260 0.0000
Te2 0.2740 0.2740 0.0000
# crystal system: tetragonal
# symmetry: I4/mmm (139)
# mass density: 4.09 g/cm³
# polymorph energy (0 for the lowest one): 72 meV per atom

---

9.
# PBE KTe, relaxed
data_KTe
_chemical_formula_sum 'K2 Te2'
_cell_length_a 5.9307
_cell_length_b 6.1843
_cell_length_c 5.9908
_cell_angle_alpha 87.22
_cell_angle_beta 65.02
_cell_angle_gamma 69.09
_symmetry_space_group_name_H-M 'P 1'
_symmetry_Int_Tables_number 1
loop_
_symmetry_equiv_pos_as_xyz
'x,y,z'
loop_
_atom_site_label
_atom_site_fract_x
_atom_site_fract_y
_atom_site_fract_z
K1 0.8817 0.2616 0.2769
K2 0.1183 0.7384 0.7231
Te1 0.4762 0.7303 0.0730
Te2 0.5238 0.2697 0.9270
# crystal system: triclinic
# symmetry: P-1 (2)
# mass density: 3.00 g/cm³
# calculated total energy: -2.9299 eV per atom

---

10.
# PBE KTe, relaxed
data_KTe
_chemical_formula_sum 'K2 Te2'
_cell_length_a 4.9271
_cell_length_b 4.9271
_cell_length_c 7.0545
_cell_angle_alpha 90.00
_cell_angle_beta 90.00
_cell_angle_gamma 90.00
_symmetry_space_group_name_H-M 'P 1'
_symmetry_Int_Tables_number 1
loop_
_symmetry_equiv_pos_as_xyz
'x,y,z'
loop_
_atom_site_label
_atom_site_fract_x
_atom_site_fract_y
_atom_site_fract_z
K1 0.0000 0.0000 0.9302
K2 0.5000 0.5000 0.3198
Te1 0.0000 0.0000 0.4518
Te2 0.5000 0.5000 0.7982
# crystal system: tetragonal
# symmetry: P4/nmm (129)
# mass density: 3.23 g/cm³
# calculated total energy: -2.5427 eV per atom

---

11.
# PBE KTe, relaxed
data_KTe
_chemical_formula_sum 'K4 Te4'
_cell_length_a 5.7883
_cell_length_b 5.7883
_cell_length_c 10.7161
_cell_angle_alpha 90.00
_cell_angle_beta 90.00
_cell_angle_gamma 120.00
_symmetry_space_group_name_H-M 'P 1'
_symmetry_Int_Tables_number 1
loop_
_symmetry_equiv_pos_as_xyz
'x,y,z'
loop_
_atom_site_label
_atom_site_fract_x
_atom_site_fract_y
_atom_site_fract_z
K1 0.3333 0.6667 0.0851
K2 0.6667 0.3333 0.5851
K3 0.6667 0.3333 0.9149
K4 0.3333 0.6667 0.4149
Te1 0.0000 0.0000 0.2500
Te2 0.0000 0.0000 0.7500
Te3 0.3333 0.6667 0.7500
Te4 0.6667 0.3333 0.2500
# crystal system: hexagonal
# symmetry: P6_3/mmc (194)
# mass density: 3.56 g/cm³
# calculated total energy: -2.7094 eV per atom

---

12.
# PBE KTe, relaxed
data_KTe
_chemical_formula_sum 'K4 Te4'
_cell_length_a 5.6503
_cell_length_b 5.6503
_cell_length_c 12.3967
_cell_angle_alpha 90.00
_cell_angle_beta 90.00
_cell_angle_gamma 120.00
_symmetry_space_group_name_H-M 'P 1'
_symmetry_Int_Tables_number 1
loop_
_symmetry_equiv_pos_as_xyz
'x,y,z'
loop_
_atom_site_label
_atom_site_fract_x
_atom_site_fract_y
_atom_site_fract_z
K1 0.0000 0.0000 0.0000
K2 0.0000 0.0000 0.5000
K3 0.6667 0.3333 0.2500
K4 0.3333 0.6667 0.7500
Te1 0.6667 0.3333 0.6356
Te2 0.3333 0.6667 0.1356
Te3 0.3333 0.6667 0.3644
Te4 0.6667 0.3333 0.8644
# crystal system: hexagonal
# symmetry: P6_3/mmc (194)
# mass density: 3.23 g/cm³
# calculated total energy: -2.9640 eV per atom